<w>
Here is an optimized crystal structure of Zn2PH from Alexandria via LeMat-Bulk. Energies are from PBE-GGA.

a = 3.8398 Å, b = 3.8398 Å, c = 16.4269 Å
α = 90.00°, β = 90.00°, γ = 120.00°
Space group R-3m (No. 166, hexagonal axes)
Asymmetric unit:
Zn 0.0000 0.0000 0.1017 [6 per cell]
P 0.0000 0.0000 0.5000 [3 per cell]
H 0.0000 0.0000 0.0000 [3 per cell]

<x>
Here is an optimized crystal structure of Zn2PH from Alexandria via LeMat-Bulk. Energies are from PBE-GGA.

a = 5.905 Å, b = 5.905 Å, c = 5.905 Å
α = 90.00°, β = 90.00°, γ = 90.00°
Space group Fm-3m (No. 225)
Asymmetric unit:
Zn 0.250 0.250 0.250 [8 per cell]
P 0.000 0.000 0.000 [4 per cell]
H 0.000 0.000 0.500 [4 per cell]

<y>
Here is an optimized crystal structure of Zn2PH from Alexandria via LeMat-Bulk. Energies are from PBE-GGA.

a = 4.615 Å, b = 4.615 Å, c = 11.228 Å
α = 90.00°, β = 90.00°, γ = 90.00°
Space group I-42d (No. 122)
Asymmetric unit:
Zn 0.186 0.250 0.125 [8 per cell]
P 0.000 0.000 0.500 [4 per cell]
H 0.000 0.000 0.000 [4 per cell]

Relative energies, meV per atom: <w> 0; <x> 384; <y> 104.

<w>
Here is an optimized crystal structure of ZnPH3 from Alexandria via LeMat-Bulk. Energies are from PBE-GGA.

a = 4.709 Å, b = 5.996 Å, c = 5.997 Å
α = 67.56°, β = 89.98°, γ = 89.80°
Space group P1 (No. 1)
Asymmetric unit:
Zn 0.000 0.000 0.000 [1 per cell]
Zn 0.500 0.066 0.063 [1 per cell]
P 0.001 0.733 0.744 [1 per cell]
P 0.498 0.319 0.333 [1 per cell]
H 0.233 0.572 0.761 [1 per cell]
H 0.277 0.295 0.504 [1 per cell]
H 0.497 0.580 0.228 [1 per cell]
H 0.723 0.296 0.501 [1 per cell]
H 0.787 0.554 0.777 [1 per cell]
H 0.989 0.836 0.483 [1 per cell]

<x>
Here is an optimized crystal structure of ZnPH3 from Alexandria via LeMat-Bulk. Energies are from PBE-GGA.

a = 3.546 Å, b = 3.546 Å, c = 3.546 Å
α = 90.00°, β = 90.00°, γ = 90.00°
Space group Pm-3m (No. 221)
Asymmetric unit:
Zn 0.000 0.000 0.000 [1 per cell]
P 0.500 0.500 0.500 [1 per cell]
H 0.000 0.000 0.500 [3 per cell]

Relative energies, meV per atom: <w> 0; <x> 782.

<w>
Here is an optimized crystal structure of ZnP3H from Alexandria via LeMat-Bulk. Energies are from PBE-GGA.

a = 4.652 Å, b = 4.652 Å, c = 4.652 Å
α = 90.00°, β = 90.00°, γ = 90.00°
Space group Pm-3m (No. 221)
Asymmetric unit:
Zn 0.000 0.000 0.000 [1 per cell]
P 0.000 0.000 0.500 [3 per cell]
H 0.500 0.500 0.500 [1 per cell]

<x>
Here is an optimized crystal structure of ZnP3H from Alexandria via LeMat-Bulk. Energies are from PBE-GGA.

a = 4.019 Å, b = 4.019 Å, c = 4.019 Å
α = 90.00°, β = 90.00°, γ = 90.00°
Space group Pm-3m (No. 221)
Asymmetric unit:
Zn 0.000 0.000 0.000 [1 per cell]
P 0.000 0.500 0.500 [3 per cell]
H 0.500 0.500 0.500 [1 per cell]

Relative energies, meV per atom: <w> 708; <x> 0.

<w>
Here is an optimized crystal structure of ZrP3H from Alexandria via LeMat-Bulk. Energies are from PBE-GGA.

a = 4.065 Å, b = 4.065 Å, c = 4.065 Å
α = 90.00°, β = 90.00°, γ = 90.00°
Space group Pm-3m (No. 221)
Asymmetric unit:
Zr 0.000 0.000 0.000 [1 per cell]
P 0.000 0.500 0.500 [3 per cell]
H 0.500 0.500 0.500 [1 per cell]

<x>
Here is an optimized crystal structure of ZrP3H from Alexandria via LeMat-Bulk. Energies are from PBE-GGA.

a = 5.040 Å, b = 5.040 Å, c = 5.040 Å
α = 90.00°, β = 90.00°, γ = 90.00°
Space group Pm-3m (No. 221)
Asymmetric unit:
Zr 0.000 0.000 0.000 [1 per cell]
P 0.000 0.000 0.500 [3 per cell]
H 0.500 0.500 0.500 [1 per cell]

Relative energies, meV per atom: <w> 0; <x> 687.